Density functional theory data (GGA-PBE) for a geometry-optimized CuSbSe2 structure.

Cell lengths 4.3694, 4.0936, 6.0607 Å; angles 90.00, 100.91, 90.00 degrees
Positions (direct):
Cu (0.0000, 0.0000, 0.0000)
Sb (0.3147, 0.5000, 0.5452)
Se (0.2509, 0.5000, 0.1143)
Se (0.7403, 0.0000, 0.6186)

Calculated values
The value obtained for the total magnetization is 0.0 μB/f.u. The space-group type is Pm (6). As for the crystal system: monoclinic. The density of states at the Fermi level is 0.4 states/eV/cell. The value obtained for the theoretical density is 5.4 g cm⁻³. The formation energy (no corrections) comes out at -146 meV per atom.